1.
Computed, not measured: CsCdGa3 after structural relaxation at the PBE-GGA level of DFT.

- Density of states at the Fermi level: 3.6 states/eV/f.u.
- ΔE to the lowest computed polymorph: 0.000 eV per atom

Geometry as POSCAR:
```
CsCdGa3
1.0
-0.4336 -2.5772 -4.8369
5.2891 -1.4684 0.3082
-1.4364 -4.6290 2.5952
Cs Ga Cd
1 3 1
direct
0.5000 0.5000 0.5000
0.0000 0.0000 0.5000
0.0000 0.5000 0.0000
0.5000 0.0000 0.0000
0.0000 0.0000 0.0000
```



2.
Computed, not measured: CsCdGa3 after structural relaxation at the PBE-GGA level of DFT.

- Density of states at the Fermi level: 8.9 states/eV/f.u.
- ΔE to the lowest computed polymorph: 0.881 eV per atom

Geometry as POSCAR:
```
CsCdGa3
1.0
6.1936 0.0000 0.0000
0.0000 6.1936 0.0000
0.0000 0.0000 6.1936
Cd Ga Cs
1 3 1
direct
0.5000 0.5000 0.5000
0.0000 0.0000 0.5000
0.0000 0.5000 0.0000
0.5000 0.0000 0.0000
0.0000 0.0000 0.0000
```



3.
Computed, not measured: CsCd3Ga after structural relaxation at the PBE-GGA level of DFT.

- Density of states at the Fermi level: 7.2 states/eV/f.u.
- ΔE to the lowest computed polymorph: 0.836 eV per atom

Geometry as POSCAR:
```
CsCd3Ga
1.0
6.7825 0.0000 0.0000
0.0000 6.7825 0.0000
0.0000 0.0000 6.7825
Cd Ga Cs
3 1 1
direct
0.0000 0.0000 0.5000
0.0000 0.5000 0.0000
0.5000 0.0000 0.0000
0.5000 0.5000 0.5000
0.0000 0.0000 0.0000
```



4.
Computed, not measured: CsCdGa after structural relaxation at the PBE-GGA level of DFT.

- Density of states at the Fermi level: 1.0 states/eV/f.u.
- ΔE to the lowest computed polymorph: 0.072 eV per atom

Geometry as POSCAR:
```
CsCdGa
1.0
-2.3037 -0.6554 3.0581
2.2770 -2.9551 1.0820
3.7847 6.0874 1.6887
Cd Ga Cs
1 1 1
direct
0.2850 0.2850 0.5699
0.7125 0.7125 0.4250
0.0026 0.0026 0.0051
```